# 1
VASP calculation (meta-GGA SCAN) on a crystal of ErAl3C3 relaxed with PBEsol.

Lattice parameters (Å, degrees): 3.401 3.401 17.097 90.00 90.00 120.00
Sites, in units of the cell vectors:
Er: 0.000 0.000 0.000
Er: 0.000 0.000 0.500
Al: 0.333 0.667 0.133
Al: 0.333 0.667 0.367
Al: 0.333 0.667 0.750
Al: 0.667 0.333 0.250
Al: 0.667 0.333 0.633
Al: 0.667 0.333 0.867
C: 0.333 0.667 0.250
C: 0.333 0.667 0.591
C: 0.333 0.667 0.909
C: 0.667 0.333 0.091
C: 0.667 0.333 0.409
C: 0.667 0.333 0.750

Summary:
Formation enthalpy at 0 K   -0.467 eV per atom
Crystal system   hexagonal
Calculated total energy   -15.31 eV per atom

# 2
VASP calculation (meta-GGA SCAN) on a crystal of Al4TeP relaxed with PBEsol.

Lattice parameters (Å, degrees): 5.399 5.399 5.399 60.00 60.00 60.00
Sites, in units of the cell vectors:
Al: 0.124 0.124 0.124
Al: 0.124 0.124 0.627
Al: 0.124 0.627 0.124
Al: 0.627 0.124 0.124
Te: 0.500 0.500 0.500
P: 0.750 0.750 0.750

Summary:
Crystal system   cubic
Raw formation energy   398 meV per atom
Calculated total energy   -12.71 eV per atom

# 3
VASP calculation (meta-GGA SCAN) on a crystal of SrCdP relaxed with PBEsol.

Lattice parameters (Å, degrees): 4.948 4.948 4.948 60.00 60.00 60.00
Sites, in units of the cell vectors:
Sr: 0.000 0.000 0.000
Cd: 0.750 0.750 0.750
P: 0.250 0.250 0.250

Summary:
Formation enthalpy at 0 K   -0.150 eV per atom
Crystal system   cubic
Calculated total energy   -21.18 eV per atom
Distance to the lowest polymorph of the same formula   502 meV per atom

# 4
VASP calculation (meta-GGA SCAN) on a crystal of Co2AgF relaxed with PBEsol.

Lattice parameters (Å, degrees): 7.146 7.146 7.146 144.42 144.42 51.20
Sites, in units of the cell vectors:
Co: 0.000 0.000 0.000
Co: 0.000 0.000 0.500
Co: 0.000 0.500 0.000
Co: 0.500 0.000 0.500
Ag: 0.375 0.625 0.750
Ag: 0.625 0.375 0.250
F: 0.125 0.875 0.250
F: 0.875 0.125 0.750

Summary:
Crystal system   tetragonal
Raw formation energy   277 meV per atom
Calculated total energy   -17.10 eV per atom